Model 1:
{"formula": "Be3TcHg", "functional": "PBE-GGA", "state": "optimized geometry", "lattice_angstrom": [[4.255, 0.000, 0.000], [0.000, 4.255, 0.000], [0.000, 0.000, 4.255]], "species": ["Be", "Be", "Be", "Tc", "Hg"], "frac_coords": [[0.000, 0.000, 0.500], [0.000, 0.500, 0.000], [0.500, 0.000, 0.000], [0.000, 0.000, 0.000], [0.500, 0.500, 0.500]], "vol_a3_per_atom": 15.41, "total_magnetization_mub_per_cell": 0.00, "n_ef_per_ev_fu": 2.79}



Model 2:
{"formula": "Be3TcHg", "functional": "PBE-GGA", "state": "optimized geometry", "lattice_angstrom": [[4.287, 0.000, 0.000], [0.000, 4.287, 0.000], [0.000, 0.000, 4.287]], "species": ["Be", "Be", "Be", "Tc", "Hg"], "frac_coords": [[0.000, 0.000, 0.500], [0.000, 0.500, 0.000], [0.500, 0.000, 0.000], [0.500, 0.500, 0.500], [0.000, 0.000, 0.000]], "vol_a3_per_atom": 15.76, "total_magnetization_mub_per_cell": 2.04, "n_ef_per_ev_fu": 3.11}



Relative energies, unit kJ/mol of atoms: model 1 0.0; model 2 39.2



Model 1:
{"formula": "BeHgTe2", "functional": "PBE-GGA", "state": "optimized geometry", "lattice_angstrom": [[6.085, -1.879, 0.000], [6.085, 1.879, 0.000], [-1.131, 0.000, 6.009]], "species": ["Be", "Hg", "Te", "Te"], "frac_coords": [[0.000, 0.000, 0.000], [0.805, 0.805, 0.911], [0.558, 0.558, 0.740], [0.583, 0.583, 0.247]], "vol_a3_per_atom": 34.35, "total_magnetization_mub_per_cell": 0.00, "n_ef_per_ev_fu": 1.21}



Model 2:
{"formula": "BeHgTe2", "functional": "PBE-GGA", "state": "optimized geometry", "lattice_angstrom": [[6.182, -5.674, 0.000], [6.182, 5.674, 0.000], [-4.089, 0.000, 14.226]], "species": ["Be", "Be", "Be", "Be", "Be", "Be", "Be", "Be", "Hg", "Hg", "Hg", "Hg", "Hg", "Hg", "Hg", "Hg", "Te", "Te", "Te", "Te", "Te", "Te", "Te", "Te", "Te", "Te", "Te", "Te", "Te", "Te", "Te", "Te"], "frac_coords": [[0.149, 0.663, 0.856], [0.327, 0.375, 0.662], [0.337, 0.851, 0.644], [0.375, 0.327, 0.162], [0.625, 0.673, 0.838], [0.663, 0.149, 0.356], [0.673, 0.625, 0.338], [0.851, 0.337, 0.144], [0.099, 0.105, 0.909], [0.105, 0.099, 0.409], [0.331, 0.434, 0.396], [0.434, 0.331, 0.896], [0.566, 0.669, 0.104], [0.669, 0.566, 0.604], [0.895, 0.901, 0.591], [0.901, 0.895, 0.091], [0.089, 0.327, 0.068], [0.129, 0.871, 0.750], [0.141, 0.385, 0.772], [0.227, 0.582, 0.560], [0.327, 0.089, 0.568], [0.385, 0.141, 0.272], [0.388, 0.612, 0.250], [0.418, 0.773, 0.940], [0.582, 0.227, 0.060], [0.612, 0.388, 0.750], [0.615, 0.859, 0.728], [0.673, 0.911, 0.432], [0.773, 0.418, 0.440], [0.859, 0.615, 0.228], [0.871, 0.129, 0.250], [0.911, 0.673, 0.932]], "vol_a3_per_atom": 31.19, "total_magnetization_mub_per_cell": 0.00, "n_ef_per_ev_fu": 0.00}



Relative energies, unit kJ/mol of atoms: model 1 12.2; model 2 0.0



Model 1:
{"formula": "BeHgTe2", "functional": "PBE-GGA", "state": "optimized geometry", "lattice_angstrom": [[1.955, 1.129, 7.257], [-1.955, 1.129, 7.257], [0.000, -2.258, 7.257]], "species": ["Be", "Hg", "Te", "Te"], "frac_coords": [[0.000, 0.000, 0.000], [0.500, 0.500, 0.500], [0.268, 0.268, 0.268], [0.732, 0.732, 0.732]], "vol_a3_per_atom": 24.03, "total_magnetization_mub_per_cell": 0.00, "n_ef_per_ev_fu": 2.40}



Model 2:
{"formula": "BeHgTe2", "functional": "PBE-GGA", "state": "optimized geometry", "lattice_angstrom": [[3.761, -1.873, 0.000], [3.761, 1.873, 0.000], [-0.883, 0.000, 7.354]], "species": ["Be", "Hg", "Te", "Te"], "frac_coords": [[0.000, 0.000, 0.000], [0.500, 0.500, 0.500], [0.322, 0.322, 0.813], [0.678, 0.678, 0.187]], "vol_a3_per_atom": 25.90, "total_magnetization_mub_per_cell": 0.00, "n_ef_per_ev_fu": 0.96}



Model 3:
{"formula": "BeHgTe2", "functional": "PBE-GGA", "state": "optimized geometry", "lattice_angstrom": [[3.191, -3.918, 0.000], [3.191, 3.918, 0.000], [0.000, 0.000, 3.910]], "species": ["Be", "Hg", "Te", "Te"], "frac_coords": [[0.000, 0.000, 0.000], [0.500, 0.500, 0.000], [0.000, 0.500, 0.500], [0.500, 0.000, 0.500]], "vol_a3_per_atom": 24.44, "total_magnetization_mub_per_cell": 0.00, "n_ef_per_ev_fu": 2.47}



Model 4:
{"formula": "BeHgTe2", "functional": "PBE-GGA", "state": "optimized geometry", "lattice_angstrom": [[4.151, 0.000, 0.000], [0.000, 4.151, 0.000], [0.000, 0.000, 5.788]], "species": ["Be", "Hg", "Te", "Te"], "frac_coords": [[0.000, 0.000, 0.000], [0.500, 0.500, 0.500], [0.000, 0.000, 0.500], [0.500, 0.500, 0.000]], "vol_a3_per_atom": 24.94, "total_magnetization_mub_per_cell": 0.00, "n_ef_per_ev_fu": 1.70}



Relative energies, unit kJ/mol of atoms: model 1 2.0; model 2 0.0; model 3 54.9; model 4 17.5



Model 1:
{"formula": "BeHgTe2", "functional": "PBE-GGA", "state": "optimized geometry", "lattice_angstrom": [[1.936, -11.419, 0.000], [1.936, 11.419, 0.000], [0.000, 0.000, 5.835]], "species": ["Be", "Be", "Hg", "Hg", "Te", "Te", "Te", "Te"], "frac_coords": [[0.149, 0.851, 0.750], [0.851, 0.149, 0.250], [0.409, 0.591, 0.750], [0.591, 0.409, 0.250], [0.251, 0.749, 0.750], [0.414, 0.586, 0.250], [0.586, 0.414, 0.750], [0.749, 0.251, 0.250]], "vol_a3_per_atom": 32.26, "total_magnetization_mub_per_cell": 0.00, "n_ef_per_ev_fu": 1.69}



Model 2:
{"formula": "BeHgTe2", "functional": "PBE-GGA", "state": "optimized geometry", "lattice_angstrom": [[2.039, 1.177, 8.120], [-2.039, 1.177, 8.120], [0.000, -2.355, 8.120]], "species": ["Be", "Hg", "Te", "Te"], "frac_coords": [[0.000, 0.000, 0.000], [0.500, 0.500, 0.500], [0.387, 0.387, 0.387], [0.613, 0.613, 0.613]], "vol_a3_per_atom": 29.24, "total_magnetization_mub_per_cell": 0.00, "n_ef_per_ev_fu": 0.78}



Model 3:
{"formula": "BeHgTe2", "functional": "PBE-GGA", "state": "optimized geometry", "lattice_angstrom": [[3.205, -4.075, 0.000], [3.205, 4.075, 0.000], [-2.462, 0.000, 4.012]], "species": ["Be", "Hg", "Te", "Te"], "frac_coords": [[0.000, 0.000, 0.000], [0.500, 0.500, 0.000], [0.000, 0.500, 0.500], [0.500, 0.000, 0.500]], "vol_a3_per_atom": 26.20, "total_magnetization_mub_per_cell": 0.00, "n_ef_per_ev_fu": 1.96}



Model 4:
{"formula": "BeHgTe2", "functional": "PBE-GGA", "state": "optimized geometry", "lattice_angstrom": [[4.290, 0.000, 0.000], [-2.145, 7.150, 0.000], [-0.001, -1.158, 7.547]], "species": ["Be", "Be", "Hg", "Hg", "Te", "Te", "Te", "Te"], "frac_coords": [[0.000, 0.000, 0.000], [0.261, 0.519, 0.773], [0.510, 0.017, 0.518], [0.748, 0.496, 0.244], [0.087, 0.171, 0.742], [0.307, 0.615, 0.480], [0.547, 0.093, 0.162], [0.826, 0.650, 0.921]], "vol_a3_per_atom": 28.94, "total_magnetization_mub_per_cell": 0.00, "n_ef_per_ev_fu": 0.00}



Relative energies, unit kJ/mol of atoms: model 1 25.4; model 2 27.7; model 3 59.8; model 4 0.0



Model 1:
{"formula": "Be3HgTe", "functional": "PBE-GGA", "state": "optimized geometry", "lattice_angstrom": [[4.564, 0.000, 0.000], [0.000, 4.564, 0.000], [0.000, 0.000, 4.564]], "species": ["Be", "Be", "Be", "Hg", "Te"], "frac_coords": [[0.000, 0.000, 0.500], [0.000, 0.500, 0.000], [0.500, 0.000, 0.000], [0.000, 0.000, 0.000], [0.500, 0.500, 0.500]], "vol_a3_per_atom": 19.01, "total_magnetization_mub_per_cell": 0.00, "n_ef_per_ev_fu": 2.34}



Model 2:
{"formula": "Be3HgTe", "functional": "PBE-GGA", "state": "optimized geometry", "lattice_angstrom": [[4.781, 0.000, 0.000], [0.000, 4.781, 0.000], [0.000, 0.000, 4.781]], "species": ["Be", "Be", "Be", "Hg", "Te"], "frac_coords": [[0.000, 0.000, 0.500], [0.000, 0.500, 0.000], [0.500, 0.000, 0.000], [0.500, 0.500, 0.500], [0.000, 0.000, 0.000]], "vol_a3_per_atom": 21.85, "total_magnetization_mub_per_cell": 0.00, "n_ef_per_ev_fu": 2.14}



Relative energies, unit kJ/mol of atoms: model 1 0.0; model 2 32.5



Model 1:
{"formula": "BeHgTe3", "functional": "PBE-GGA", "state": "optimized geometry", "lattice_angstrom": [[5.074, 0.000, 0.000], [0.000, 5.074, 0.000], [0.000, 0.000, 5.074]], "species": ["Be", "Hg", "Te", "Te", "Te"], "frac_coords": [[0.000, 0.000, 0.000], [0.500, 0.500, 0.500], [0.000, 0.000, 0.500], [0.000, 0.500, 0.000], [0.500, 0.000, 0.000]], "vol_a3_per_atom": 26.12, "total_magnetization_mub_per_cell": 0.00, "n_ef_per_ev_fu": 6.29}



Model 2:
{"formula": "BeHgTe3", "functional": "PBE-GGA", "state": "optimized geometry", "lattice_angstrom": [[5.611, 0.000, 0.000], [0.000, 5.611, 0.000], [0.000, 0.000, 5.611]], "species": ["Be", "Hg", "Te", "Te", "Te"], "frac_coords": [[0.000, 0.000, 0.000], [0.500, 0.500, 0.500], [0.000, 0.500, 0.500], [0.500, 0.000, 0.500], [0.500, 0.500, 0.000]], "vol_a3_per_atom": 35.32, "total_magnetization_mub_per_cell": 0.57, "n_ef_per_ev_fu": 6.48}



Relative energies, unit kJ/mol of atoms: model 1 0.0; model 2 75.4



Model 1:
{"formula": "BeHgTe", "functional": "PBE-GGA", "state": "optimized geometry", "lattice_angstrom": [[0.000, 3.254, 3.254], [3.254, 0.000, 3.254], [3.254, 3.254, 0.000]], "species": ["Be", "Hg", "Te"], "frac_coords": [[0.000, 0.000, 0.000], [0.250, 0.250, 0.250], [0.750, 0.750, 0.750]], "vol_a3_per_atom": 22.96, "total_magnetization_mub_per_cell": 0.00}



Model 2:
{"formula": "BeHgTe", "functional": "PBE-GGA", "state": "optimized geometry", "lattice_angstrom": [[-1.819, 1.819, 5.985], [1.819, -1.819, 5.985], [1.819, 1.819, -5.985]], "species": ["Be", "Hg", "Te"], "frac_coords": [[0.000, 0.000, 0.000], [0.199, 0.199, 0.000], [0.451, 0.451, 0.000]], "vol_a3_per_atom": 26.40, "total_magnetization_mub_per_cell": 0.00, "n_ef_per_ev_fu": 0.90}



Relative energies, unit kJ/mol of atoms: model 1 15.5; model 2 0.0



Model 1:
{"formula": "BeHgTe", "functional": "PBE-GGA", "state": "optimized geometry", "lattice_angstrom": [[0.000, 3.158, 6.615], [1.877, 0.000, 6.615], [1.877, 3.158, 0.000]], "species": ["Be", "Hg", "Te"], "frac_coords": [[0.000, 0.000, 0.000], [0.647, 0.647, 0.353], [0.391, 0.391, 0.609]], "vol_a3_per_atom": 26.14, "total_magnetization_mub_per_cell": 0.00, "n_ef_per_ev_fu": 1.00}



Model 2:
{"formula": "BeHgTe", "functional": "PBE-GGA", "state": "optimized geometry", "lattice_angstrom": [[4.020, 0.000, 0.000], [-2.010, 3.481, 0.000], [0.000, 0.000, 7.376]], "species": ["Be", "Hg", "Te"], "frac_coords": [[0.000, 0.000, 0.000], [0.667, 0.333, 0.487], [0.333, 0.667, 0.985]], "vol_a3_per_atom": 34.41, "total_magnetization_mub_per_cell": 0.00, "n_ef_per_ev_fu": 0.00}



Relative energies, unit kJ/mol of atoms: model 1 36.7; model 2 0.0